(1)
Material: CaAc2Pm
Method: DFT, PBE
State: relaxed

The structure in CIF format:
```
data_CaAc2Pm
_chemical_formula_sum 'Ca1 Ac2 Pm1'
_space_group_name_H-M_alt 'P 4/m m m'
_space_group_IT_number 123
_space_group_name_Hall '-P 4 2'
_cell_length_a 5.6015
_cell_length_b 5.6015
_cell_length_c 5.2021
_cell_angle_alpha 90.00
_cell_angle_beta 90.00
_cell_angle_gamma 90.00
loop_
_atom_site_label
_atom_site_fract_x
_atom_site_fract_y
_atom_site_fract_z
Ca1 0.0000 0.0000 0.0000
Ac1 0.0000 0.5000 0.5000
Pm1 0.5000 0.5000 0.0000
```

(2)
Material: Ca3Ac2Pm
Method: DFT, PBE
State: relaxed

The structure in CIF format:
```
data_Ca3Ac2Pm
_chemical_formula_sum 'Ca12 Ac8 Pm4'
_space_group_name_H-M_alt 'C 1 2/m 1'
_space_group_IT_number 12
_space_group_name_Hall '-C 2y'
_cell_length_a 14.4425
_cell_length_b 3.7424
_cell_length_c 19.1014
_cell_angle_alpha 90.00
_cell_angle_beta 102.77
_cell_angle_gamma 90.00
loop_
_atom_site_label
_atom_site_fract_x
_atom_site_fract_y
_atom_site_fract_z
Ca1 0.0657 0.0000 0.1676
Ca2 0.1273 0.5000 0.9941
Ca3 0.2238 0.5000 0.3333
Ac1 0.1292 0.5000 0.5013
Ac2 0.1893 0.0000 0.8307
Pm1 0.0427 0.5000 0.6809
```

(3)
Material: Ca3Ac2Pm2
Method: DFT, PBE
State: relaxed

The structure in CIF format:
```
data_Ca3Ac2Pm2
_chemical_formula_sum 'Ca6 Ac4 Pm4'
_space_group_name_H-M_alt 'C m m m'
_space_group_IT_number 65
_space_group_name_Hall '-C 2 2'
_cell_length_a 5.9504
_cell_length_b 25.9650
_cell_length_c 3.7353
_cell_angle_alpha 90.00
_cell_angle_beta 90.00
_cell_angle_gamma 90.00
loop_
_atom_site_label
_atom_site_fract_x
_atom_site_fract_y
_atom_site_fract_z
Ca1 0.0000 0.0000 0.0000
Ca2 0.0000 0.4276 0.5000
Ac1 0.0000 0.2874 0.5000
Pm1 0.0000 0.1517 0.0000
```

(4)
Material: CaAcPm4
Method: DFT, PBE
State: relaxed

The structure in CIF format:
```
data_CaAcPm4
_chemical_formula_sum 'Ca4 Ac4 Pm16'
_space_group_name_H-M_alt 'F -4 3 m'
_space_group_IT_number 216
_space_group_name_Hall 'F -4 2 3'
_cell_length_a 9.7547
_cell_length_b 9.7547
_cell_length_c 9.7547
_cell_angle_alpha 90.00
_cell_angle_beta 90.00
_cell_angle_gamma 90.00
loop_
_atom_site_label
_atom_site_fract_x
_atom_site_fract_y
_atom_site_fract_z
Ca1 0.0000 0.0000 0.0000
Ac1 0.2500 0.2500 0.2500
Pm1 0.1246 0.1246 0.6246
```

(5)
Material: CaAc5PmPr2
Method: DFT, PBE
State: relaxed

The structure in CIF format:
```
data_CaAc5PmPr2
_chemical_formula_sum 'Ca4 Ac20 Pm4 Pr8'
_space_group_name_H-M_alt 'C m c m'
_space_group_IT_number 63
_space_group_name_Hall '-C 2c 2'
_cell_length_a 5.9810
_cell_length_b 22.5102
_cell_length_c 11.2687
_cell_angle_alpha 90.00
_cell_angle_beta 90.00
_cell_angle_gamma 90.00
loop_
_atom_site_label
_atom_site_fract_x
_atom_site_fract_y
_atom_site_fract_z
Ca1 0.0000 0.0979 0.2500
Ac1 0.0000 0.0000 0.0000
Ac2 0.0000 0.1297 0.7500
Ac3 0.0000 0.2194 0.0612
Ac4 0.0000 0.4968 0.7500
Pm1 0.0000 0.3061 0.7500
Pr1 0.0000 0.3855 0.0184
```

(6)
Material: CaAcPm2Pr6
Method: DFT, PBE
State: relaxed

The structure in CIF format:
```
data_CaAcPm2Pr6
_chemical_formula_sum 'Ca4 Ac4 Pm8 Pr24'
_space_group_name_H-M_alt 'C 1 2/c 1'
_space_group_IT_number 15
_space_group_name_Hall '-C 2yc'
_cell_length_a 9.4000
_cell_length_b 15.9351
_cell_length_c 10.1325
_cell_angle_alpha 90.00
_cell_angle_beta 97.08
_cell_angle_gamma 90.00
loop_
_atom_site_label
_atom_site_fract_x
_atom_site_fract_y
_atom_site_fract_z
Ca1 0.0000 0.0962 0.2500
Ac1 0.0000 0.4749 0.7500
Pm1 0.2457 0.0546 0.9565
Pr1 0.0611 0.3177 0.4480
Pr2 0.1053 0.1062 0.6203
Pr3 0.2037 0.2677 0.8230
```

(7)
Material: Ca2Ac6PmPr3
Method: DFT, PBE
State: relaxed

The structure in CIF format:
```
data_Ca2Ac6PmPr3
_chemical_formula_sum 'Ca4 Ac12 Pm2 Pr6'
_space_group_name_H-M_alt 'C 1 2/m 1'
_space_group_IT_number 12
_space_group_name_Hall '-C 2y'
_cell_length_a 6.7471
_cell_length_b 11.6989
_cell_length_c 12.6819
_cell_angle_alpha 90.00
_cell_angle_beta 100.21
_cell_angle_gamma 90.00
loop_
_atom_site_label
_atom_site_fract_x
_atom_site_fract_y
_atom_site_fract_z
Ca1 0.0000 0.1668 0.0000
Ac1 0.2453 0.5000 0.7478
Ac2 0.2481 0.3356 0.2534
Pm1 0.0000 0.5000 0.0000
Pr1 0.0000 0.0000 0.5000
Pr2 0.0000 0.3346 0.5000
```

(8)
Material: CaAc5Pm2Pr
Method: DFT, PBE
State: relaxed

The structure in CIF format:
```
data_CaAc5Pm2Pr
_chemical_formula_sum 'Ca4 Ac20 Pm8 Pr4'
_space_group_name_H-M_alt 'I 4/m c m'
_space_group_IT_number 140
_space_group_name_Hall '-I 4 2c'
_cell_length_a 9.9759
_cell_length_b 9.9759
_cell_length_c 15.4637
_cell_angle_alpha 90.00
_cell_angle_beta 90.00
_cell_angle_gamma 90.00
loop_
_atom_site_label
_atom_site_fract_x
_atom_site_fract_y
_atom_site_fract_z
Ca1 0.0000 0.5000 0.2500
Ac1 0.0000 0.0000 0.0000
Ac2 0.2053 0.2947 0.1294
Pm1 0.1045 0.3955 0.5000
Pr1 0.0000 0.0000 0.2500
```

Number 1: magnetic moment 0.000 μB per atom, calculated total energy -3.684 eV/atom. Number 2: magnetic moment 0.000 μB per atom, calculated total energy -3.020 eV/atom. Number 3: magnetic moment 0.000 μB per atom, calculated total energy -3.281 eV/atom. Number 4: magnetic moment 0.000 μB per atom, calculated total energy -4.013 eV/atom. Number 5: magnetic moment 0.000 μB per atom, calculated total energy -3.946 eV/atom. Number 6: magnetic moment 0.000 μB per atom, calculated total energy -4.309 eV/atom. Number 7: magnetic moment 0.000 μB per atom, calculated total energy -3.949 eV/atom. Number 8: magnetic moment 0.000 μB per atom, calculated total energy -3.820 eV/atom.